(1)
Entry from Alexandria: an optimized crystal structure of Ho3AgIr (PBE-GGA).

Calculated values
Density (g/cm3): 9.61
N(E_F) (states/eV per cell): 12.09

Cell: 3.9295 14.1673 9.8709 Å, 90.00 90.00 90.00°
Closest atoms and distances in Å follow each position.
Space group Amm2 (No. 38)
Asymmetric unit:
Ho 0.0000 0.1247 0.0000  2 Ir 2.72
Ho 0.0000 0.1246 0.3762  2 Ir 2.72
Ho 0.5000 0.1683 0.6881  2 Ir 2.73
Ag 0.0000 0.0000 0.6873  4 Ho 3.09
Ag 0.5000 0.0000 0.1880  8 Ho 3.23
Ir 0.5000 0.2500 0.4381  6 Ho 2.72-2.73

=====

(2)
Entry from Alexandria: an optimized crystal structure of Ho3Ag2Ir2 (PBE-GGA).

Calculated values
Density (g/cm3): 10.69
N(E_F) (states/eV per cell): 5.81

Cell: 8.3299 4.8193 8.9199 Å, 90.00 108.12 90.00°
Closest atoms and distances in Å follow each position.
Space group C2/m (No. 12)
Asymmetric unit:
Ho 0.0000 0.0000 0.0000  2 Ir 2.66
Ho 0.2148 0.0000 0.6444  4 Ir 2.80-2.81
Ag 0.1056 0.5000 0.8188  3 Ir 2.99-3.00, 6 Ho 3.14-3.18
Ir 0.1057 0.0000 0.3141  5 Ho 2.66-2.81

=====

(3)
Entry from Alexandria: an optimized crystal structure of Ho5AgIr4 (PBE-GGA).

Calculated values
Density (g/cm3): 13.62
N(E_F) (states/eV per cell): 8.60

Cell: 3.4224 3.4224 17.7062 Å, 90.00 90.00 90.00°
Closest atoms and distances in Å follow each position.
Space group P4/mmm (No. 123)
Asymmetric unit:
Ho 0.0000 0.0000 0.0000  8 Ir 2.97
Ho 0.0000 0.0000 0.1924  8 Ir 2.95-3.00
Ho 0.0000 0.0000 0.3825  4 Ir 2.90, 4 Ag 3.19
Ag 0.5000 0.5000 0.5000  8 Ho 3.19, 4 Ag 3.42
Ir 0.5000 0.5000 0.0968  8 Ho 2.95-2.97
Ir 0.5000 0.5000 0.2924  8 Ho 2.90-3.00

=====

(4)
Entry from Alexandria: an optimized crystal structure of Ho4AgIr2 (PBE-GGA).

Calculated values
Offset from the most stable computed form (kJ/mol of atoms): 5.1
Density (g/cm3): 11.62
N(E_F) (states/eV per cell): 8.21

Cell: 7.4044 7.4100 7.6590 Å, 109.16 109.13 108.67°
Closest atoms and distances in Å follow each position.
Space group P1 (No. 1)
Asymmetric unit:
Ho 0.0000 0.0000 0.0000  3 Ir 2.76-3.07, 1 Ag 2.97
Ho 0.0099 0.9923 0.5014  3 Ir 2.76-3.07, 1 Ag 2.97
Ho 0.1584 0.6413 0.7993  3 Ir 2.76-3.07, 1 Ag 2.97
Ho 0.4148 0.5368 0.1645  2 Ir 2.74-2.82, 1 Ag 2.93
Ho 0.5306 0.8906 0.6336  2 Ir 2.74-2.82, 1 Ag 2.92
Ho 0.5474 0.4077 0.6672  2 Ir 2.75-2.82, 1 Ag 2.92
Ho 0.6508 0.1503 0.3011  3 Ir 2.76-3.07, 1 Ag 2.97
Ho 0.9003 0.5224 0.1360  2 Ir 2.74-2.83, 1 Ag 2.92
Ag 0.1446 0.3841 0.3999  6 Ho 2.92-3.20
Ag 0.3947 0.1343 0.9010  6 Ho 2.92-3.19
Ir 0.2672 0.8944 0.2735  4 Ho 2.74-2.87
Ir 0.6427 0.7714 0.0255  5 Ho 2.74-3.07
Ir 0.7792 0.6342 0.5248  5 Ho 2.75-3.07
Ir 0.9034 0.2592 0.7745  5 Ho 2.74-3.07

=====

(5)
Entry from Alexandria: an optimized crystal structure of Ho5Ag2Ir2 (PBE-GGA).

Calculated values
Density (g/cm3): 10.80
N(E_F) (states/eV per cell): 28.35

Cell: 15.3892 7.4636 7.6298 Å, 90.00 90.00 90.00°
Closest atoms and distances in Å follow each position.
Space group Cmce (No. 64)
Asymmetric unit:
Ho 0.0000 0.0000 0.0000  4 Ir 2.91-2.96, 2 Ag 3.24
Ho 0.1236 0.1670 0.3315  3 Ir 2.83-3.01, 3 Ag 3.10-3.12
Ag 0.2105 0.0000 0.0000  7 Ho 3.10-3.24
Ir 0.0000 0.1356 0.6358  8 Ho 2.83-3.01, 1 Ir 2.90

=====

(6)
Entry from Alexandria: an optimized crystal structure of Ho5Ag4Ir (PBE-GGA).

Calculated values
Density (g/cm3): 10.49
N(E_F) (states/eV per cell): 6.93

Cell: 3.5551 3.5551 18.1404 Å, 90.00 90.00 90.00°
Closest atoms and distances in Å follow each position.
Space group P4/mmm (No. 123)
Asymmetric unit:
Ho 0.0000 0.0000 0.0000  8 Ag 3.12
Ho 0.0000 0.0000 0.2049  8 Ag 3.10-3.13
Ho 0.0000 0.0000 0.4117  4 Ir 2.98, 4 Ag 3.18, 1 Ho 3.20
Ag 0.5000 0.5000 0.1019  8 Ho 3.12-3.13
Ag 0.5000 0.5000 0.3046  8 Ho 3.10-3.18
Ir 0.5000 0.5000 0.5000  8 Ho 2.98

=====

E_form (computed, meV per atom): -440, -398, -760, -621, -585, -442